Entry 1:
## Ba3NiW (meta-GGA SCAN)

Data for a crystal of Ba3NiW relaxed with PBEsol.

Computed properties:
- DFT formation energy: 1169 meV/atom
- Density of states at the Fermi level: 3.65 states/eV/f.u.

Cell lengths 5.7210, 5.7210, 5.7210 Å; angles 90.00, 90.00, 90.00 degrees
Atoms (fractional coordinates):
Ba (0.0000, 0.0000, 0.5000)
Ba (0.0000, 0.5000, 0.0000)
Ba (0.5000, 0.0000, 0.0000)
Ni (0.0000, 0.0000, 0.0000)
W (0.5000, 0.5000, 0.5000)

---

Entry 2:
## Ba2YNi (meta-GGA SCAN)

Data for a crystal of Ba2YNi relaxed with PBEsol.

Computed properties:
- DFT formation energy: 63 meV/atom
- Density of states at the Fermi level: 3.22 states/eV/f.u.

Cell lengths 3.6413, 3.6413, 10.1328 Å; angles 90.00, 90.00, 90.00 degrees
Atoms (fractional coordinates):
Ba (0.0000, 0.0000, 0.0000)
Ba (0.5000, 0.5000, 0.3640)
Y (0.5000, 0.5000, 0.6931)
Ni (0.0000, 0.0000, 0.5756)